Density functional theory data (GGA-PBE) for crystalline Fe2As2Ir at its relaxed geometry.

The structure in POSCAR format:
```
Fe2As2Ir
1.0
-3.1362 0.5369 1.8093
-1.1893 -3.2869 -1.0861
-0.0659 -3.5477 4.6411
As Ir Fe
2 1 2
Cartesian
-2.6824 -2.1929 3.4060
-1.7089 -4.1048 1.9583
0.0000 0.0000 0.0000
-1.7165 -1.8374 1.2724
-2.6749 -4.4603 4.0919
```

- energy relative to the lowest polymorph listed for this composition (meV/atom) = 324.7
- total DFT energy (no corrections) (eV per atom) = -6.567
- E_form (meV/atom) = 450


Density functional theory data (GGA-PBE) for crystalline LaFeAsIr2 at its relaxed geometry.

The structure in POSCAR format:
```
LaFeAsIr2
1.0
4.9970 0.0000 0.0000
0.0000 4.9970 0.0000
0.0000 0.0000 4.6311
As Ir Fe La
1 2 1 1
Cartesian
2.4985 2.4985 2.3155
0.0000 2.4985 0.0000
2.4985 0.0000 0.0000
0.0000 0.0000 2.3155
0.0000 0.0000 0.0000
```

- total DFT energy (no corrections) (eV per atom) = -5.289
- E_form (meV/atom) = 1864


Density functional theory data (GGA-PBE) for crystalline MnFeAsIr at its relaxed geometry.

The structure in POSCAR format:
```
MnFeAsIr
1.0
-1.7279 2.4795 -2.9554
-3.7845 -0.9628 -1.6181
-3.3670 2.3766 0.9395
As Ir Fe Mn
1 1 1 1
Cartesian
0.0000 0.0000 0.0000
-6.6595 2.9199 -2.7254
-2.2198 0.9733 -0.9085
-4.4396 1.9466 -1.8169
```

- total DFT energy (no corrections) (eV per atom) = -7.784
- E_form (meV/atom) = 2


Density functional theory data (GGA-PBE) for crystalline FeAsIrN2 at its relaxed geometry.

The structure in POSCAR format:
```
FeAsIrN2
1.0
3.7063 0.0000 0.0000
0.0000 5.6593 0.0000
0.0000 0.0000 3.7063
As Ir Fe N
1 1 1 2
Cartesian
1.8532 2.8296 1.8532
0.0000 0.0000 0.0000
0.0000 2.8296 0.0000
0.0000 0.0000 1.8532
1.8532 0.0000 0.0000
```

- energy relative to the elements, uncorrected (eV/atom) = 1.013
- total DFT energy (no corrections) (eV per atom) = -6.712


Density functional theory data (GGA-PBE) for crystalline FeAsIrRh2 at its relaxed geometry.

The structure in POSCAR format:
```
FeAsIrRh2
1.0
4.4854 0.0000 0.0000
0.0000 4.4488 0.0000
0.0000 0.0000 4.4854
As Ir Rh Fe
1 1 2 1
Cartesian
2.2427 2.2244 2.2427
0.0000 2.2244 0.0000
0.0000 0.0000 2.2427
2.2427 0.0000 0.0000
0.0000 0.0000 0.0000
```

- total DFT energy (no corrections) (eV per atom) = -6.178
- E_form (meV/atom) = 1157


Density functional theory data (GGA-PBE) for crystalline FeAsIrSe2 at its relaxed geometry.

The structure in POSCAR format:
```
FeAsIrSe2
1.0
5.0965 0.0000 0.0000
0.0000 5.0965 0.0000
0.0000 0.0000 4.5588
As Ir Fe Se
1 1 1 2
Cartesian
0.0000 0.0000 2.2794
0.0000 0.0000 0.0000
2.5482 2.5482 2.2794
0.0000 2.5482 0.0000
2.5482 0.0000 0.0000
```

- energy relative to the lowest polymorph listed for this composition (meV/atom) = 29.6
- energy relative to the elements, uncorrected (eV/atom) = 0.885
- total DFT energy (no corrections) (eV per atom) = -4.904


Density functional theory data (GGA-PBE) for crystalline FeAsIrSe2 at its relaxed geometry.

The structure in POSCAR format:
```
FeAsIrSe2
1.0
-2.4351 -2.0710 -3.2625
-2.3656 -2.2503 3.1942
-2.9572 3.2833 0.1230
As Ir Fe Se
1 1 1 2
Cartesian
-1.4786 1.6416 0.0615
-3.8789 -0.5190 0.0273
0.0000 0.0000 0.0000
-1.1828 -1.1251 1.5971
-1.2175 -1.0355 -1.6312
```

- energy relative to the lowest polymorph listed for this composition (meV/atom) = 0.0
- energy relative to the elements, uncorrected (eV/atom) = 0.855
- total DFT energy (no corrections) (eV per atom) = -4.933


Density functional theory data (GGA-PBE) for crystalline Th2FeAs3Ir4 at its relaxed geometry.

The structure in POSCAR format:
```
Th2FeAs3Ir4
1.0
-1.3820 3.8474 -0.9378
-3.8683 -1.5241 -0.5525
-2.1058 1.6965 10.0626
Th Fe As Ir
2 1 3 4
Cartesian
-1.2189 2.3490 2.0537
-3.5120 0.5091 7.2637
-3.6780 2.0099 4.2861
-1.0529 0.8482 5.0313
-2.5053 3.3854 8.2012
-2.2256 -0.5273 1.1162
-2.6251 1.1616 -0.7452
0.0000 0.0000 0.0000
-2.0150 2.9904 5.8582
-2.7159 -0.1323 3.4593
```

- total DFT energy (no corrections) (eV per atom) = -7.985
- E_form (meV/atom) = -715


Density functional theory data (GGA-PBE) for crystalline TiFeAsIr2 at its relaxed geometry.

The structure in POSCAR format:
```
TiFeAsIr2
1.0
-3.4325 -0.7473 -2.9027
1.6561 -4.3129 -0.8480
-2.5303 -1.6431 3.4152
As Ir Fe Ti
1 2 1 1
Cartesian
0.8281 -2.1565 -0.4240
-1.2651 -0.8216 1.7076
-1.7162 -0.3737 -1.4513
-2.1533 -3.3517 -0.1677
0.0000 0.0000 0.0000
```

- total DFT energy (no corrections) (eV per atom) = -6.324
- E_form (meV/atom) = 1422


Density functional theory data (GGA-PBE) for crystalline KFeAs at its relaxed geometry.

The structure in POSCAR format:
```
KFeAs
1.0
-4.7188 2.5114 3.6269
-6.4284 -0.4943 0.3995
5.9244 -2.5612 -0.2640
As Fe K
1 1 1
Cartesian
-10.5156 1.9028 3.7982
-4.3718 0.7911 1.5791
-7.4070 1.3403 2.6754
```

- total DFT energy (no corrections) (eV per atom) = -4.618
- E_form (meV/atom) = 119


Density functional theory data (GGA-PBE) for crystalline KFe2As2 at its relaxed geometry.

The structure in POSCAR format:
```
KFe2As2
1.0
-0.0261 -3.2848 1.4192
3.2225 -0.6385 -1.4187
3.4060 2.7758 6.4874
K Fe As
1 2 2
Cartesian
0.0000 0.0000 0.0000
1.6900 -0.2545 3.9533
3.3143 1.0686 2.5344
4.0233 0.0147 4.6192
2.5792 -1.1622 1.8687
```

- total DFT energy (no corrections) (eV per atom) = -5.653
- E_form (meV/atom) = -189


Density functional theory data (GGA-PBE) for crystalline KFeAs at its relaxed geometry.

The structure in POSCAR format:
```
KFeAs
1.0
4.9829 0.0000 0.0000
2.4914 4.3153 0.0000
2.4914 1.4384 4.0685
As Fe K
1 1 1
Cartesian
0.0000 0.0000 0.0000
4.9829 2.8769 2.0342
7.4743 4.3153 3.0514
```

- total DFT energy (no corrections) (eV per atom) = -3.372
- E_form (meV/atom) = 1364